Entry 1:
VASP calculation (GGA-PBE) on crystalline CeEuO2 at its relaxed geometry.

abc: 3.092 3.092 6.155
angles: 90.00 90.00 90.00
Sites, in units of the cell vectors:
Ce 0.000 0.000 0.000
Eu 0.000 0.000 0.500
O 0.500 0.500 0.242
O 0.500 0.500 0.758

Space group: P4/mmm
Relative energy among the computed polymorphs, eV/atom: 0.512

Entry 2:
VASP calculation (GGA-PBE) on crystalline KFe2OsCl at its relaxed geometry.

abc: 4.455 4.455 4.522
angles: 90.00 90.00 90.00
Sites, in units of the cell vectors:
K 0.000 0.000 0.000
Fe 0.000 0.500 0.500
Fe 0.500 0.000 0.500
Os 0.500 0.500 0.000
Cl 0.500 0.500 0.500

Space group: P4/mmm
E_tot, eV/atom: -4.79

Entry 3:
VASP calculation (GGA-PBE) on crystalline BaPt2Se at its relaxed geometry.

abc: 4.228 4.780 5.384
angles: 90.00 90.00 90.00
Sites, in units of the cell vectors:
Ba 0.000 0.000 0.000
Pt 0.500 0.500 0.241
Pt 0.500 0.500 0.759
Se 0.000 0.500 0.500

Space group: Pmmm
E_tot, eV/atom: -5.02

Entry 4:
VASP calculation (GGA-PBE) on crystalline Co2Pd at its relaxed geometry.

abc: 5.677 5.677 5.677
angles: 153.01 153.01 38.54
Sites, in units of the cell vectors:
Co 0.178 0.178 0.000
Co 0.822 0.822 0.000
Pd 0.500 0.500 0.000

Formation energy, eV per atom: 0.05
Space group: I4/mmm

Entry 5:
VASP calculation (GGA-PBE) on crystalline HoTmSe2 at its relaxed geometry.

abc: 7.444 7.444 7.444
angles: 30.47 30.47 30.47
Sites, in units of the cell vectors:
Ho 0.000 0.000 0.000
Tm 0.824 0.824 0.824
Se 0.411 0.411 0.411
Se 0.579 0.579 0.579

Space group: R3m
Relative energy among the computed polymorphs, eV/atom: 0.002

Entry 6:
VASP calculation (GGA-PBE) on crystalline Cs4PmPu3O12 at its relaxed geometry.

abc: 7.649 7.649 7.649
angles: 109.47 109.47 109.47
Sites, in units of the cell vectors:
Cs 0.000 0.000 0.500
Cs 0.000 0.500 0.000
Cs 0.500 0.000 0.000
Cs 0.500 0.500 0.500
Pm 0.000 0.000 0.000
Pu 0.000 0.500 0.500
Pu 0.500 0.000 0.500
Pu 0.500 0.500 0.000
O 0.000 0.272 0.272
O 0.000 0.728 0.728
O 0.250 0.500 0.750
O 0.250 0.750 0.500
O 0.272 0.000 0.272
O 0.272 0.272 0.000
O 0.500 0.250 0.750
O 0.500 0.750 0.250
O 0.728 0.000 0.728
O 0.728 0.728 0.000
O 0.750 0.250 0.500
O 0.750 0.500 0.250

Space group: Im-3m
E_tot, eV/atom: -8.00

Entry 7:
VASP calculation (GGA-PBE) on crystalline LiV2Os at its relaxed geometry.

abc: 3.019 3.019 5.794
angles: 90.00 90.00 90.00
Sites, in units of the cell vectors:
Li 0.000 0.000 0.000
V 0.500 0.500 0.239
V 0.500 0.500 0.761
Os 0.000 0.000 0.500

Formation energy, eV per atom: 0.16
Space group: P4/mmm

Entry 8:
VASP calculation (GGA-PBE) on crystalline Mn2ZnFe2 at its relaxed geometry.

abc: 6.823 6.823 2.492
angles: 90.00 90.00 90.00
Sites, in units of the cell vectors:
Mn 0.121 0.379 0.000
Mn 0.379 0.879 0.000
Mn 0.621 0.121 0.000
Mn 0.879 0.621 0.000
Zn 0.000 0.000 0.000
Zn 0.500 0.500 0.000
Fe 0.168 0.668 0.500
Fe 0.332 0.168 0.500
Fe 0.668 0.832 0.500
Fe 0.832 0.332 0.500

Formation energy, eV per atom: 0.23
Space group: P4/mbm
Relative energy among the computed polymorphs, eV/atom: 0.026

Entry 9:
VASP calculation (GGA-PBE) on crystalline Ce2PaCrN4 at its relaxed geometry.

abc: 6.010 6.010 11.825
angles: 90.00 90.00 148.11
Sites, in units of the cell vectors:
Ce 0.135 0.865 0.555
Ce 0.135 0.865 0.945
Ce 0.865 0.135 0.055
Ce 0.865 0.135 0.445
Pa 0.390 0.610 0.750
Pa 0.610 0.390 0.250
Cr 0.348 0.652 0.250
Cr 0.652 0.348 0.750
N 0.044 0.956 0.750
N 0.217 0.783 0.139
N 0.217 0.783 0.361
N 0.500 0.500 0.000
N 0.500 0.500 0.500
N 0.783 0.217 0.639
N 0.783 0.217 0.861
N 0.956 0.044 0.250

Space group: Cmcm
E_tot, eV/atom: -9.23

Entry 10:
VASP calculation (GGA-PBE) on crystalline Pm4Nd2Ho3 at its relaxed geometry.

abc: 10.112 10.112 8.724
angles: 98.95 98.95 20.26
Sites, in units of the cell vectors:
Pm 0.048 0.048 0.185
Pm 0.220 0.220 0.149
Pm 0.780 0.780 0.851
Pm 0.952 0.952 0.815
Nd 0.167 0.167 0.544
Nd 0.833 0.833 0.456
Ho 0.394 0.394 0.139
Ho 0.500 0.500 0.500
Ho 0.606 0.606 0.861

Formation energy, eV per atom: 0.08
Space group: C2/m
Relative energy among the computed polymorphs, eV/atom: 0.025

Entry 11:
VASP calculation (GGA-PBE) on crystalline Gd2HoCl at its relaxed geometry.

abc: 10.241 10.241 10.241
angles: 20.40 20.40 20.40
Sites, in units of the cell vectors:
Gd 0.240 0.240 0.240
Gd 0.760 0.760 0.760
Ho 0.000 0.000 0.000
Cl 0.500 0.500 0.500

Space group: R-3m
E_tot, eV/atom: -9.31

Entry 12:
VASP calculation (GGA-PBE) on crystalline Zn2PbW at its relaxed geometry.

abc: 5.636 5.636 5.636
angles: 146.68 131.54 60.08
Sites, in units of the cell vectors:
Zn 0.232 0.232 0.000
Zn 0.768 0.768 0.000
Pb 0.500 0.000 0.500
W 0.000 0.500 0.500

Formation energy, eV per atom: 0.64
Space group: Immm